[1]
This record from OQMD via LeMat-Bulk describes a geometry-optimized LiPaPd structure. The functional is PBE.

The structure in CIF format:
```
data_LiPaPd
_symmetry_space_group_name_H-M 'F -4 3 m'
_symmetry_Int_Tables_number 216
_symmetry_space_group_name_Hall 'F -4 2 3'
_cell_length_a 6.522
_cell_length_b 6.522
_cell_length_c 6.522
_cell_angle_alpha 90.00
_cell_angle_beta 90.00
_cell_angle_gamma 90.00
loop_
_atom_site_label
_atom_site_fract_x
_atom_site_fract_y
_atom_site_fract_z
Li1 0.000 0.000 0.000
Pa1 0.000 0.000 0.500
Pd1 0.250 0.250 0.250
```

Values from the calculation:
Total DFT energy (no corrections) = -5.42 eV per atom
Relative energy among the computed polymorphs = 0.0 meV per atom
M_tot = 1.83 μB/f.u.

***

[2]
This record from OQMD via LeMat-Bulk describes a geometry-optimized LiPmPa structure. The functional is PBE.

The structure in CIF format:
```
data_LiPmPa
_symmetry_space_group_name_H-M 'F -4 3 m'
_symmetry_Int_Tables_number 216
_symmetry_space_group_name_Hall 'F -4 2 3'
_cell_length_a 6.972
_cell_length_b 6.972
_cell_length_c 6.972
_cell_angle_alpha 90.00
_cell_angle_beta 90.00
_cell_angle_gamma 90.00
loop_
_atom_site_label
_atom_site_fract_x
_atom_site_fract_y
_atom_site_fract_z
Li1 0.000 0.000 0.000
Pm1 0.000 0.000 0.500
Pa1 0.250 0.250 0.250
```

Values from the calculation:
Total DFT energy (no corrections) = -4.21 eV per atom
M_tot = 1.29 μB/f.u.

***

[3]
This record from OQMD via LeMat-Bulk describes a geometry-optimized RbLiPaS3 structure. The functional is PBE.

The structure in CIF format:
```
data_RbLiPaS3
_symmetry_space_group_name_H-M 'C m c m'
_symmetry_Int_Tables_number 63
_symmetry_space_group_name_Hall '-C 2c 2'
_cell_length_a 4.101
_cell_length_b 14.311
_cell_length_c 10.610
_cell_angle_alpha 90.00
_cell_angle_beta 90.00
_cell_angle_gamma 90.00
loop_
_atom_site_label
_atom_site_fract_x
_atom_site_fract_y
_atom_site_fract_z
Rb1 0.000 0.237 0.250
Li1 0.000 0.040 0.750
Pa1 0.000 0.500 0.000
S1 0.000 0.120 0.552
S2 0.000 0.449 0.750
```

Values from the calculation:
Total DFT energy (no corrections) = -5.65 eV per atom
M_tot = 1.00 μB/f.u.

***

[4]
This record from OQMD via LeMat-Bulk describes a geometry-optimized RbLiPaTe3 structure. The functional is PBE.

The structure in CIF format:
```
data_RbLiPaTe3
_symmetry_space_group_name_H-M 'C m c m'
_symmetry_Int_Tables_number 63
_symmetry_space_group_name_Hall '-C 2c 2'
_cell_length_a 4.527
_cell_length_b 15.922
_cell_length_c 11.796
_cell_angle_alpha 90.00
_cell_angle_beta 90.00
_cell_angle_gamma 90.00
loop_
_atom_site_label
_atom_site_fract_x
_atom_site_fract_y
_atom_site_fract_z
Rb1 0.000 0.245 0.250
Li1 0.000 0.037 0.750
Pa1 0.000 0.500 0.000
Te1 0.000 0.127 0.551
Te2 0.000 0.439 0.750
```

Values from the calculation:
Total DFT energy (no corrections) = -4.63 eV per atom
M_tot = 1.00 μB/f.u.

***

[5]
This record from OQMD via LeMat-Bulk describes a geometry-optimized LiPa3S6 structure. The functional is PBE.

The structure in CIF format:
```
data_LiPa3S6
_symmetry_space_group_name_H-M 'C m c 21'
_symmetry_Int_Tables_number 36
_cell_length_a 10.602
_cell_length_b 12.836
_cell_length_c 6.563
_cell_angle_alpha 90.00
_cell_angle_beta 90.00
_cell_angle_gamma 90.00
loop_
_symmetry_equiv_pos_as_xyz
'x,y,z'
'-x,-y,z+1/2'
'-x,y,z'
'x,-y,z+1/2'
'x+1/2,y+1/2,z'
'-x+1/2,-y+1/2,z+1/2'
'-x+1/2,y+1/2,z'
'x+1/2,-y+1/2,z+1/2'
loop_
_atom_site_label
_atom_site_fract_x
_atom_site_fract_y
_atom_site_fract_z
Li1 0.000 0.192 0.000
Pa1 0.000 0.399 0.629
Pa2 0.174 0.100 0.529
S1 0.000 0.023 0.808
S2 0.000 0.232 0.365
S3 0.164 0.464 0.330
S4 0.173 0.269 0.803
```

Values from the calculation:
Total DFT energy (no corrections) = -7.10 eV per atom
M_tot = 2.96 μB/f.u.

***

[6]
This record from OQMD via LeMat-Bulk describes a geometry-optimized LiPa3S structure. The functional is PBE.

The structure in CIF format:
```
data_LiPa3S
_symmetry_space_group_name_H-M 'P m -3 m'
_symmetry_Int_Tables_number 221
_symmetry_space_group_name_Hall '-P 4 2 3'
_cell_length_a 5.112
_cell_length_b 5.112
_cell_length_c 5.112
_cell_angle_alpha 90.00
_cell_angle_beta 90.00
_cell_angle_gamma 90.00
loop_
_atom_site_label
_atom_site_fract_x
_atom_site_fract_y
_atom_site_fract_z
Li1 0.000 0.000 0.000
Pa1 0.000 0.500 0.500
S1 0.500 0.500 0.500
```

Values from the calculation:
Total DFT energy (no corrections) = -6.88 eV per atom
M_tot = 0.01 μB/f.u.

***

[7]
This record from OQMD via LeMat-Bulk describes a geometry-optimized Li5PaS5 structure. The functional is PBE.

The structure in CIF format:
```
data_Li5PaS5
_symmetry_space_group_name_H-M 'C 1 2/m 1'
_symmetry_Int_Tables_number 12
_cell_length_a 12.078
_cell_length_b 5.285
_cell_length_c 7.356
_cell_angle_alpha 90.00
_cell_angle_beta 110.01
_cell_angle_gamma 90.00
loop_
_symmetry_equiv_pos_as_xyz
'x,y,z'
'-x,-y,-z'
'-x,y,-z'
'x,-y,z'
'x+1/2,y+1/2,z'
'-x+1/2,-y+1/2,-z'
'-x+1/2,y+1/2,-z'
'x+1/2,-y+1/2,z'
loop_
_atom_site_label
_atom_site_fract_x
_atom_site_fract_y
_atom_site_fract_z
Li1 0.000 0.000 0.000
Li2 0.190 0.500 0.366
Li3 0.195 0.500 0.824
Pa1 0.000 0.000 0.500
S1 0.000 0.500 0.500
S2 0.152 0.000 0.317
S3 0.170 0.000 0.832
```

Values from the calculation:
Total DFT energy (no corrections) = -5.03 eV per atom
M_tot = 0.00 μB/f.u.

***

[8]
This record from OQMD via LeMat-Bulk describes a geometry-optimized LiPaSb structure. The functional is PBE.

The structure in CIF format:
```
data_LiPaSb
_symmetry_space_group_name_H-M 'F -4 3 m'
_symmetry_Int_Tables_number 216
_symmetry_space_group_name_Hall 'F -4 2 3'
_cell_length_a 6.478
_cell_length_b 6.478
_cell_length_c 6.478
_cell_angle_alpha 90.00
_cell_angle_beta 90.00
_cell_angle_gamma 90.00
loop_
_atom_site_label
_atom_site_fract_x
_atom_site_fract_y
_atom_site_fract_z
Li1 0.000 0.000 0.000
Pa1 0.250 0.250 0.750
Sb1 0.250 0.250 0.250
```

Values from the calculation:
Total DFT energy (no corrections) = -5.20 eV per atom
Relative energy among the computed polymorphs = 0.0 meV per atom
M_tot = 1.32 μB/f.u.

***

What are the calculated density values for these records? In order: 8.247, 7.507, 4.476, 5.518, 6.638, 9.101, 3.207, 8.790 g/cm³.